Below is an optimized crystal structure of Dy3Au4, with properties calculated at the PBE level.

Structure (CIF):
```
data_Dy3Au4
_cell_length_a 4.9761
_cell_length_b 4.9761
_cell_length_c 24.6553
_cell_angle_alpha 90.00
_cell_angle_beta 90.00
_cell_angle_gamma 120.00
_symmetry_space_group_name_H-M 'R -3 m'
_symmetry_Int_Tables_number 166
_symmetry_space_group_name_Hall '-R 3 2"'
loop_
_atom_site_label
_atom_site_fract_x
_atom_site_fract_y
_atom_site_fract_z
_atom_site_occupancy
Dy1 0.0000 0.0000 0.0000 1
Dy2 0.0000 0.0000 0.2407 1
Au1 0.0000 0.0000 0.1199 1
Au2 0.0000 0.0000 0.3658 1
```

Results
Mass density ... 12.02 g/cm3
Size of the total moment ... 0.00 μB/f.u.
Fermi-level density of states ... 14.3 states/eV per cell
Formation energy ... -0.71 eV/atom


Below is an optimized crystal structure of RbH2F, with properties calculated at the PBE level.

Structure (CIF):
```
data_RbH2F
_cell_length_a 6.303
_cell_length_b 6.303
_cell_length_c 6.303
_cell_angle_alpha 90.00
_cell_angle_beta 90.00
_cell_angle_gamma 90.00
_symmetry_space_group_name_H-M 'F m -3 m'
_symmetry_Int_Tables_number 225
_symmetry_space_group_name_Hall '-F 4 2 3'
loop_
_atom_site_label
_atom_site_fract_x
_atom_site_fract_y
_atom_site_fract_z
_atom_site_occupancy
Rb1 0.000 0.000 0.000 1
H1 0.250 0.250 0.250 1
F1 0.000 0.000 0.500 1
```

Results
Mass density ... 2.82 g/cm3
Energy above the lowest structure with this stoichiometry ... 1242 meV/atom
Size of the total moment ... 2.00 μB/f.u.
Fermi-level density of states ... 0.0 states/eV per cell